[1]
PmZn9Pd3: relaxed, PBE-GGA. Values from VASP.

Output
Total energy: -2.832 eV per atom
Space-group type: C2/m (12)
ΔE_f: -37 kJ per mole of atoms

```
&SYSTEM
  ibrav = 0, nat = 13, ntyp = 3
/
ATOMIC_SPECIES
Pm 145.00 Pm.upf
Zn 65.41 Zn.upf
Pd 106.42 Pd.upf
ATOMIC_POSITIONS angstrom
Pm 0.0000 0.0000 0.0000
Zn 0.1014 4.1472 4.0677
Zn 0.0838 1.4063 4.8753
Zn 2.6354 4.1472 2.1623
Zn 2.6530 1.4063 1.3547
Zn 1.3684 0.0000 3.1150
Zn 0.0838 -1.4063 4.8753
Zn 0.1014 -4.1472 4.0677
Zn 2.6530 -1.4063 1.3547
Zn 2.6354 -4.1472 2.1623
Pd -1.2937 0.0000 3.1150
Pd 1.3311 3.2035 0.0000
Pd 1.3311 -3.2035 0.0000
CELL_PARAMETERS angstrom
2.6621 -6.4070 0.0000
2.6621 6.4070 0.0000
-2.5874 0.0000 6.2300
```

[2]
Pm2Zn3Pd2: relaxed, PBE-GGA. Values from VASP.

Output
Total energy: -4.006 eV per atom
Space-group type: C2/m (12)
Excess energy over the best structure of this formula in the dataset: 0.000 eV/f.u.
ΔE_f: -60 kJ per mole of atoms

```
&SYSTEM
  ibrav = 0, nat = 14, ntyp = 3
/
ATOMIC_SPECIES
Pm 145.00 Pm.upf
Zn 65.41 Zn.upf
Pd 106.42 Pd.upf
ATOMIC_POSITIONS angstrom
Pm 0.7329 0.0000 1.7226
Pm 1.5413 2.1541 4.8172
Pm 5.7152 2.1541 1.7226
Pm 6.5236 0.0000 4.8172
Zn -1.3541 2.1541 3.2699
Zn -1.2967 2.1541 6.1153
Zn 3.5708 0.0000 0.4246
Zn 3.6282 0.0000 3.2699
Zn 3.6856 0.0000 6.1153
Zn 8.5531 2.1541 0.4246
Pd -0.5382 0.0000 4.6096
Pd 2.8124 2.1541 1.9302
Pd 4.4441 2.1541 4.6096
Pd 7.7947 0.0000 1.9302
CELL_PARAMETERS angstrom
9.9646 0.0000 0.0000
0.0000 4.3082 0.0000
-2.7081 0.0000 6.5399
```